# 1
Entry from Alexandria via LeMat-Bulk: a relaxed structure of Li2YbGe (GGA-PBE).

The structure belongs to space group Fm-3m (No. 225); the cell edges are 6.565, 6.565 and 6.565 Å and the angles 90.00°, 90.00° and 90.00°. The distinct sites, in fractional coordinates, are Li at (0.250, 0.250, 0.250), Yb at (0.000, 0.000, 0.000) and Ge at (0.000, 0.000, 0.500).

The value obtained for the formation energy from the elements is -0.437 eV/atom.



# 2
Entry from Alexandria via LeMat-Bulk: a relaxed structure of Ni2MoPt2 (GGA-PBE).

The structure belongs to space group P4/mbm (No. 127); the cell edges are 7.190, 7.190 and 2.750 Å and the angles 90.00°, 90.00° and 90.00°. The distinct sites, in fractional coordinates, are Ni at (0.166, 0.334, 0.000), Mo at (0.000, 0.000, 0.500) and Pt at (0.134, 0.634, 0.500).

The value obtained for the formation energy from the elements is 0.099 eV/atom. Its energy above the most stable polymorph in this dataset is 322.1 meV/atom.



# 3
Entry from Alexandria via LeMat-Bulk: a relaxed structure of BaReSb (GGA-PBE).

The structure belongs to space group I4mm (No. 107); the cell edges are 3.542, 3.542 and 12.548 Å and the angles 90.00°, 90.00° and 90.00°. The distinct sites, in fractional coordinates, are Ba at (0.000, 0.000, 0.000), Re at (0.000, 0.000, 0.690) and Sb at (0.000, 0.000, 0.279).

The value obtained for the energy relative to the elements, uncorrected is 0.315 eV/atom. Its energy above the most stable polymorph in this dataset is 0.0 meV/atom.



no.,calculated volume (Å³ per cell),energy (eV per atom)
1,283.0,-2.930
2,142.2,-6.797
3,157.4,-5.849